Computed, not measured: a geometry-optimized Tl3SnAs2 structure at the GGA-PBE level of DFT.

Summary:
- Formation energy: -0.02 eV per atom
- SG: P-1, No. 2

Unit cell a=4.274 b=9.008 c=10.231 alpha=75.16 beta=78.02 gamma=76.47
Fractional positions:
Tl: 0.050 0.127 0.273
Tl: 0.240 0.147 0.873
Tl: 0.374 0.230 0.525
Tl: 0.626 0.770 0.475
Tl: 0.760 0.853 0.127
Tl: 0.950 0.873 0.727
Sn: 0.413 0.498 0.177
Sn: 0.587 0.502 0.823
As: 0.164 0.524 0.646
As: 0.398 0.755 0.948
As: 0.602 0.245 0.052
As: 0.836 0.476 0.354